CoSe2N2 | PBEsol | relaxed

The energy above the lowest structure with this stoichiometry comes out at 0 meV/atom. As for the total energy: -5.540 eV/atom. As for the formation energy from raw total energies: 0.958 eV/atom.

The structure belongs to space group P4/mmm (No. 123); the cell edges are 3.5795, 3.5795 and 5.4599 Å and the angles 90.00°, 90.00° and 90.00°. The asymmetric unit holds Co at (0.0000, 0.0000, 0.0000), Se at (0.0000, 0.0000, 0.5000), Se at (0.5000, 0.5000, 0.5000) and N at (0.0000, 0.5000, 0.0000).